! Mn3HOs, optimized geometry, DFT GGA-PBE; values from VASP
! Total magnetic moment: 3.3 Bohr magnetons per cell
! DFT total energy: -7.13 eV/atom
&SYSTEM
  ibrav = 0, nat = 10, ntyp = 3
/
ATOMIC_SPECIES
H 1.01 H.upf
Mn 54.94 Mn.upf
Os 190.23 Os.upf
ATOMIC_POSITIONS crystal
H 0.636 0.136 0.729
H 0.864 0.364 0.271
Mn 0.126 0.880 0.241
Mn 0.120 0.874 0.759
Mn 0.120 0.367 0.759
Mn 0.633 0.880 0.241
Mn 0.329 0.329 0.343
Mn 0.671 0.671 0.657
Os 0.000 0.000 0.000
Os 0.250 0.750 0.500
CELL_PARAMETERS angstrom
4.225 0.000 0.000
0.000 4.225 0.000
2.112 2.112 8.599

=====

! PuMg4Pd5, optimized geometry, DFT GGA-PBE; values from VASP
! Total magnetic moment: 5.5 Bohr magnetons per cell
! DFT total energy: -5.33 eV/atom
! Energy of formation from the pure elements: -0.66 eV per atom
&SYSTEM
  ibrav = 0, nat = 10, ntyp = 3
/
ATOMIC_SPECIES
Pu 244.00 Pu.upf
Mg 24.30 Mg.upf
Pd 106.42 Pd.upf
ATOMIC_POSITIONS crystal
Pu 0.000 0.000 0.000
Mg 0.000 0.000 0.216
Mg 0.000 0.000 0.406
Mg 0.000 0.000 0.594
Mg 0.000 0.000 0.784
Pd 0.500 0.500 0.124
Pd 0.500 0.500 0.311
Pd 0.500 0.500 0.500
Pd 0.500 0.500 0.689
Pd 0.500 0.500 0.876
CELL_PARAMETERS angstrom
-1.271 -2.791 1.039
1.146 -1.501 -2.631
13.924 -3.369 7.988

=====

! HgGeF3, optimized geometry, DFT GGA-PBE; values from VASP
! Total magnetic moment: 0.0 Bohr magnetons per cell
! DFT total energy: -3.92 eV/atom
&SYSTEM
  ibrav = 0, nat = 20, ntyp = 3
/
ATOMIC_SPECIES
Hg 200.59 Hg.upf
Ge 72.64 Ge.upf
F 19.00 F.upf
ATOMIC_POSITIONS crystal
Hg 0.848 0.500 0.382
Hg 0.152 0.500 0.618
Hg 0.348 0.000 0.118
Hg 0.652 0.000 0.882
Ge 0.479 0.540 0.205
Ge 0.521 0.460 0.795
Ge 0.979 0.960 0.295
Ge 0.021 0.040 0.705
F 0.256 0.382 0.203
F 0.744 0.618 0.797
F 0.756 0.118 0.297
F 0.244 0.882 0.703
F 0.316 0.693 0.330
F 0.684 0.307 0.670
F 0.816 0.807 0.170
F 0.184 0.193 0.830
F 0.883 0.869 0.467
F 0.117 0.131 0.533
F 0.383 0.631 0.033
F 0.617 0.369 0.967
CELL_PARAMETERS angstrom
-3.585 4.297 -0.294
-6.209 -5.054 1.855
1.891 2.140 8.210